# InGaPt4, relaxed, DFT PBE
# Formation energy from the elements   -0.373 eV per atom
# DOS(E_F)   0.579 states/eV per atom
# Total energy   -5.3610 eV/atom
data_InGaPt4
_cell_length_a 6.4284
_cell_length_b 3.8555
_cell_length_c 16.4915
_cell_angle_alpha 90.00
_cell_angle_beta 90.00
_cell_angle_gamma 90.00
_space_group_name_H-M_alt 'P n m a'
_space_group_IT_number 62
loop_
_space_group_symop_operation_xyz
'x,y,z'
'-x,-y,-z'
'-x+1/2,-y,z+1/2'
'x+1/2,y,-z+1/2'
'x+1/2,-y+1/2,-z+1/2'
'-x+1/2,y+1/2,z+1/2'
'-x,y+1/2,-z'
'x,-y+1/2,z'
loop_
_atom_site_label
_atom_site_type_symbol
_atom_site_fract_x
_atom_site_fract_y
_atom_site_fract_z
In1 In 0.2012 0.2500 0.2091
Ga1 Ga 0.1925 0.7500 0.4647
Pt1 Pt 0.0122 0.7500 0.9368
Pt2 Pt 0.0796 0.2500 0.3676
Pt3 Pt 0.1288 0.2500 0.8178
Pt4 Pt 0.1955 0.2500 0.5746